(1)
Below is an optimized crystal structure of Tl2Pd4Pb, with properties calculated at the GGA-PBE level.

```
7
Lattice="4.642 0.000 0.000 2.321 4.020 0.000 2.321 1.340 7.863" Properties=species:S:1:pos:R:3 pbc="T T T"
Tl 6.963 4.020 5.609
Tl 2.321 1.340 2.253
Pd 4.642 2.680 1.133
Pd 2.321 1.340 5.014
Pd 4.642 2.680 6.730
Pd 6.963 4.020 2.849
Pb 0.000 0.000 0.000
```

Output
DFT total energy: -4.221 eV per atom
Energy relative to the lowest polymorph listed for this composition: 132 meV/atom

=====

(2)
Below is an optimized crystal structure of Tl5Pd4Pb, with properties calculated at the GGA-PBE level.

```
10
Lattice="4.510 0.000 -1.432 -0.022 6.887 -0.070 -0.105 0.069 7.491" Properties=species:S:1:pos:R:3 pbc="T T T"
Tl 3.646 6.826 3.666
Tl 2.244 3.444 -0.751
Tl 0.737 0.129 2.323
Tl 0.729 3.387 2.296
Tl 3.655 3.569 3.693
Pd 0.025 5.127 0.078
Pd 1.456 1.760 4.586
Pd 4.359 1.829 5.911
Pd 2.928 5.196 1.403
Pb 2.255 0.000 -0.716
```

Output
DFT total energy: -3.754 eV per atom

=====

(3)
Below is an optimized crystal structure of Tl2Pd5Pb2, with properties calculated at the GGA-PBE level.

```
9
Lattice="-1.250 2.507 -4.027 4.508 -5.127 -1.604 -6.999 -1.862 1.014" Properties=species:S:1:pos:R:3 pbc="T T T"
Pd -1.387 -3.052 -4.458
Pd -2.355 -1.430 -0.159
Pd 2.680 -3.370 -2.930
Pd -6.422 -1.112 -1.687
Pd 0.000 0.000 0.000
Pb -1.857 -3.858 -1.826
Pb -1.885 -0.624 -2.791
Tl 0.971 -1.593 -4.281
Tl -4.713 -2.889 -0.336
```

Output
DFT total energy: -4.306 eV per atom
Energy relative to the lowest polymorph listed for this composition: 0 meV/atom

=====

(4)
Below is an optimized crystal structure of Tl2PdPb, with properties calculated at the GGA-PBE level.

```
8
Lattice="-0.860 -1.342 4.527 -3.777 -2.566 -1.478 5.319 -7.185 -1.120" Properties=species:S:1:pos:R:3 pbc="T T T"
Tl 0.341 -5.547 0.964
Tl 0.663 -2.148 2.033
Tl 2.337 -6.991 -1.629
Tl 2.660 -3.592 -0.560
Pd 0.000 0.000 0.000
Pd -2.318 -1.954 1.525
Pb -0.902 -2.616 -0.947
Pb 3.902 -6.523 1.351
```

Output
DFT total energy: -3.496 eV per atom

=====

(5)
Below is an optimized crystal structure of TlPd3Pb, with properties calculated at the GGA-PBE level.

```
5
Lattice="-0.139 2.390 -4.531 -0.583 -4.511 -2.362 -5.090 0.451 0.394" Properties=species:S:1:pos:R:3 pbc="T T T"
Pd -0.291 -2.255 -1.181
Pd -2.545 0.226 0.197
Pd -0.069 1.195 -2.265
Pb 0.000 0.000 0.000
Tl -2.905 -0.834 -3.249
```

Output
DFT total energy: -3.781 eV per atom
Energy relative to the lowest polymorph listed for this composition: 694 meV/atom

=====

(6)
Below is an optimized crystal structure of TlPd8Pb2, with properties calculated at the GGA-PBE level.

```
11
Lattice="-1.315 -3.624 1.443 3.854 -3.703 -5.787 3.749 3.273 5.764" Properties=species:S:1:pos:R:3 pbc="T T T"
Pd 1.674 -0.130 1.198
Pd 4.613 -3.923 0.221
Pd 2.400 0.655 3.832
Pd 0.978 -0.939 -1.468
Pd 5.310 -3.114 2.887
Pd 3.888 -4.709 -2.413
Pd 4.307 -1.177 0.968
Pd 1.981 -2.876 0.452
Pb 2.750 -2.077 3.160
Pb 3.538 -1.977 -1.741
Tl -0.657 -1.812 0.721
```

Output
DFT total energy: -4.884 eV per atom
Energy relative to the lowest polymorph listed for this composition: 0 meV/atom

=====

(7)
Below is an optimized crystal structure of TlPd6Pb3, with properties calculated at the GGA-PBE level.

```
20
Lattice="4.660 0.000 0.000 0.000 8.268 -3.102 0.000 -0.605 10.433" Properties=species:S:1:pos:R:3 pbc="T T T"
Pb 3.495 1.852 -0.546
Pb 1.165 2.052 7.225
Pb 3.495 5.611 0.106
Pb 3.495 3.618 5.212
Pb 1.165 4.045 2.118
Pb 1.165 5.811 7.877
Pd 1.165 2.129 4.261
Pd 1.165 3.977 -0.685
Pd 3.495 5.534 3.069
Pd 1.165 7.615 0.079
Pd 3.495 3.686 8.015
Pd 1.165 5.133 4.856
Pd 3.495 2.530 2.475
Pd 1.165 -0.392 8.914
Pd 3.495 0.048 7.252
Pd 3.495 6.245 6.196
Pd 3.495 8.055 -1.583
Pd 1.165 1.418 1.135
Tl 1.165 7.219 2.963
Tl 3.495 0.444 4.368
```

Output
DFT total energy: -4.639 eV per atom
Energy relative to the lowest polymorph listed for this composition: 0 meV/atom

=====

(8)
Below is an optimized crystal structure of TlPd5Pb, with properties calculated at the GGA-PBE level.

```
7
Lattice="4.108 0.000 0.000 0.000 4.108 0.000 0.000 0.000 7.760" Properties=species:S:1:pos:R:3 pbc="T T T"
Pd 0.000 2.054 5.888
Pd 0.000 2.054 1.872
Pd 2.054 2.054 3.880
Pd 2.054 0.000 5.888
Pd 2.054 0.000 1.872
Pb 2.054 2.054 0.000
Tl 0.000 0.000 3.880
```

Output
DFT total energy: -4.767 eV per atom
Energy relative to the lowest polymorph listed for this composition: 0 meV/atom

=====

(9)
Below is an optimized crystal structure of TlPd3Pb2, with properties calculated at the GGA-PBE level.

```
12
Lattice="4.465 0.000 0.000 0.000 7.614 -1.679 0.000 -0.864 7.983" Properties=species:S:1:pos:R:3 pbc="T T T"
Tl 3.348 3.443 0.529
Tl 1.116 3.307 5.776
Pd 3.348 4.317 4.059
Pd 3.348 5.720 -1.195
Pd 1.116 1.030 7.499
Pd 1.116 0.328 4.771
Pd 3.348 6.422 1.533
Pd 1.116 2.433 2.245
Pb 3.348 -0.522 6.549
Pb 3.348 1.575 3.675
Pb 1.116 7.271 -0.245
Pb 1.116 5.174 2.629
```

Output
DFT total energy: -4.413 eV per atom
Energy relative to the lowest polymorph listed for this composition: 26 meV/atom

=====

(10)
Below is an optimized crystal structure of TlPd9Pb2, with properties calculated at the GGA-PBE level.

```
12
Lattice="4.098 0.000 0.000 0.000 4.098 0.000 0.000 0.000 12.324" Properties=species:S:1:pos:R:3 pbc="T T T"
Pd 0.000 2.049 10.276
Pd 2.049 2.049 4.122
Pd 2.049 0.000 2.048
Pd 2.049 0.000 10.276
Pd 0.000 2.049 2.048
Pd 2.049 2.049 8.203
Pd 0.000 2.049 6.162
Pd 2.049 2.049 0.000
Pd 2.049 0.000 6.162
Pb 0.000 0.000 4.082
Pb 0.000 0.000 8.242
Tl 0.000 0.000 0.000
```

Output
DFT total energy: -4.965 eV per atom

=====

(11)
Below is an optimized crystal structure of Tl3Pd6Pb, with properties calculated at the GGA-PBE level.

```
20
Lattice="4.690 0.000 0.000 0.000 7.666 -2.551 0.000 0.174 10.626" Properties=species:S:1:pos:R:3 pbc="T T T"
Pd 1.172 0.703 8.705
Pd 1.172 2.666 0.194
Pd 3.517 1.912 7.140
Pd 3.517 5.508 2.710
Pd 3.517 6.875 5.440
Pd 3.517 7.136 -0.630
Pd 3.517 2.436 1.933
Pd 1.172 2.331 5.365
Pd 3.517 5.174 7.880
Pd 1.172 5.403 6.142
Pd 1.172 5.928 0.935
Pd 1.172 0.964 2.635
Tl 1.172 6.567 -2.005
Tl 3.517 4.058 5.231
Tl 1.172 3.781 2.844
Tl 1.172 3.392 8.074
Tl 3.517 4.447 0.001
Tl 3.517 1.272 10.079
Pb 3.517 0.769 4.372
Pb 1.172 7.070 3.703
```

Output
DFT total energy: -4.365 eV per atom
Energy relative to the lowest polymorph listed for this composition: 0 meV/atom

=====

(12)
Below is an optimized crystal structure of TlPd4Pb5, with properties calculated at the GGA-PBE level.

```
10
Lattice="4.601 0.000 -1.460 -0.022 6.916 -0.069 -0.119 0.090 7.603" Properties=species:S:1:pos:R:3 pbc="T T T"
Pd 4.454 5.367 6.054
Pd 0.006 1.639 0.019
Pd 2.977 5.212 1.403
Pd 1.482 1.795 4.670
Pb 2.289 3.458 -0.765
Pb 3.738 0.074 3.800
Pb 3.741 3.600 3.808
Pb 0.719 3.406 2.266
Pb 0.722 6.932 2.274
Tl 2.300 0.000 -0.730
```

Output
DFT total energy: -4.313 eV per atom

=====

(13)
Below is an optimized crystal structure of TlPd3Pb2, with properties calculated at the GGA-PBE level.

```
12
Lattice="-3.871 2.714 3.019 -3.890 -6.425 0.789 5.324 2.125 4.916" Properties=species:S:1:pos:R:3 pbc="T T T"
Pb -0.772 1.910 4.795
Pb -1.431 -3.660 3.745
Pb 1.624 -0.825 5.114
Pb -3.826 -0.925 3.427
Pd -6.094 -2.356 4.409
Pd 0.022 3.320 7.149
Pd -4.159 -3.713 2.900
Pd 1.957 1.962 5.640
Pd -3.037 0.482 5.780
Pd -1.101 -0.875 4.270
Tl -0.627 -0.072 1.550
Tl -1.575 -1.678 6.990
```

Output
DFT total energy: -4.439 eV per atom
Energy relative to the lowest polymorph listed for this composition: 0 meV/atom

=====

(14)
Below is an optimized crystal structure of Tl2PdPb, with properties calculated at the GGA-PBE level.

```
4
Lattice="-3.138 1.552 0.568 -2.896 -1.191 -1.666 -3.677 -5.877 6.817" Properties=species:S:1:pos:R:3 pbc="T T T"
Tl -3.330 -4.628 5.320
Tl -2.359 -1.131 1.133
Pd -4.025 0.230 -0.719
Pb -4.852 -2.745 2.844
```

Output
DFT total energy: -3.410 eV per atom

=====

(15)
Below is an optimized crystal structure of TlPd4Pb, with properties calculated at the GGA-PBE level.

```
6
Lattice="-3.039 -3.260 -3.157 -4.242 -2.693 2.140 -5.099 1.450 -1.313" Properties=species:S:1:pos:R:3 pbc="T T T"
Pd -7.738 -2.814 -1.457
Pd -5.616 -1.467 -2.527
Pd -6.218 -1.184 0.122
Pd -5.187 -3.540 -0.800
Pb -3.095 -1.126 -0.583
Tl 0.000 0.000 0.000
```

Output
DFT total energy: -4.591 eV per atom
Energy relative to the lowest polymorph listed for this composition: 53 meV/atom

=====

(16)
Below is an optimized crystal structure of TlPd3Pb5, with properties calculated at the GGA-PBE level.

```
18
Lattice="7.386 -0.441 0.859 1.598 7.225 0.859 3.593 2.713 9.877" Properties=species:S:1:pos:R:3 pbc="T T T"
Pd 3.454 2.608 2.572
Pd 7.398 5.586 4.049
Pd 0.000 0.000 0.000
Pd 5.179 3.911 7.547
Pd 9.123 6.888 9.024
Pd 1.796 1.356 4.939
Pb 6.681 5.045 1.508
Pb 7.380 5.573 7.166
Pb 6.576 1.722 6.574
Pb 9.120 3.643 5.022
Pb 5.196 3.924 4.429
Pb 5.681 1.817 0.859
Pb 6.000 7.775 5.022
Pb 3.303 4.967 0.859
Pb 3.456 5.854 6.574
Pb 5.895 4.452 10.087
Tl 2.977 2.248 7.187
Tl 9.599 7.248 4.409
```

Output
DFT total energy: -4.134 eV per atom

=====

(17)
Below is an optimized crystal structure of Tl3Pd4Pb2, with properties calculated at the GGA-PBE level.

```
18
Lattice="5.764 0.000 -2.258 0.000 7.055 0.000 0.473 0.000 9.694" Properties=species:S:1:pos:R:3 pbc="T T T"
Pb 0.633 4.158 1.616
Pb 3.515 6.425 0.487
Pb 5.604 2.898 5.820
Pb 2.722 0.630 6.949
Pd 3.942 3.819 1.577
Pd 1.384 5.291 7.775
Pd 5.177 0.292 4.729
Pd 4.854 1.764 -0.339
Pd 1.972 1.764 0.790
Pd 2.295 3.236 5.858
Pd 4.266 5.291 6.646
Pd 1.060 6.764 2.707
Tl 5.898 1.764 2.325
Tl 0.000 0.000 0.000
Tl 3.222 5.291 3.981
Tl 2.882 3.528 -1.129
Tl 0.340 5.291 5.110
Tl 3.016 1.764 3.454
```

Output
DFT total energy: -4.056 eV per atom
Energy relative to the lowest polymorph listed for this composition: 0 meV/atom

=====

(18)
Below is an optimized crystal structure of TlPdPb, with properties calculated at the GGA-PBE level.

```
6
Lattice="-3.742 -5.223 2.563 0.203 -2.218 5.316 -5.309 0.292 1.973" Properties=species:S:1:pos:R:3 pbc="T T T"
Tl -5.971 -4.028 4.796
Tl -2.877 -3.121 5.056
Pb -5.022 -0.963 2.932
Pb -3.827 -6.185 6.920
Pd -2.212 -1.787 2.463
Pd -6.636 -5.361 7.389
```

Output
DFT total energy: -3.922 eV per atom
Energy relative to the lowest polymorph listed for this composition: 0 meV/atom

=====

(19)
Below is an optimized crystal structure of Tl3Pd3Pb, with properties calculated at the GGA-PBE level.

```
14
Lattice="-4.851 -5.339 -1.342 3.223 -6.585 0.298 -1.798 -3.504 6.191" Properties=species:S:1:pos:R:3 pbc="T T T"
Pd 0.333 -6.853 -0.101
Pd -3.243 -10.208 0.697
Pd -4.022 -5.362 1.468
Pd -3.760 -8.575 5.249
Pd 0.595 -10.065 3.680
Pd -0.183 -5.219 4.450
Tl -0.575 -9.520 0.335
Tl -3.197 -7.480 -0.131
Tl -2.851 -5.907 4.813
Tl 1.372 -7.669 2.344
Tl -4.798 -7.758 2.804
Tl -0.229 -7.948 5.278
Pb -2.288 -10.300 3.437
Pb -1.139 -5.128 1.711
```

Output
DFT total energy: -3.880 eV per atom

=====

(20)
Below is an optimized crystal structure of TlPd2Pb2, with properties calculated at the GGA-PBE level.

```
5
Lattice="3.347 0.003 1.423 1.043 6.764 2.183 -0.307 0.501 5.366" Properties=species:S:1:pos:R:3 pbc="T T T"
Pd 3.886 5.874 7.113
Pd 0.196 1.394 1.859
Pb 3.076 5.797 4.373
Pb 1.007 1.472 4.599
Tl 2.195 3.384 1.803
```

Output
DFT total energy: -4.201 eV per atom
Energy relative to the lowest polymorph listed for this composition: 0 meV/atom

=====

(21)
Below is an optimized crystal structure of Tl2Pd3Pb2, with properties calculated at the GGA-PBE level.

```
7
Lattice="3.357 0.012 0.029 -1.552 7.234 0.181 0.080 -0.894 6.742" Properties=species:S:1:pos:R:3 pbc="T T T"
Pb 1.766 5.319 4.339
Pb 0.119 1.033 2.613
Pd 1.790 3.336 2.305
Pd 0.095 3.017 4.647
Pd 0.000 0.000 0.000
Tl 0.120 5.044 0.776
Tl 1.765 1.308 6.176
```

Output
DFT total energy: -4.066 eV per atom
Energy relative to the lowest polymorph listed for this composition: 22 meV/atom

=====

(22)
Below is an optimized crystal structure of Tl2PdPb2, with properties calculated at the GGA-PBE level.

```
5
Lattice="-1.503 2.769 -1.458 -2.562 -0.160 2.338 7.861 5.463 6.410" Properties=species:S:1:pos:R:3 pbc="T T T"
Tl 2.244 2.605 2.637
Tl 1.554 5.468 4.654
Pb 4.946 5.742 5.812
Pb -1.148 2.331 1.479
Pd 0.000 0.000 0.000
```

Output
DFT total energy: -3.560 eV per atom
Energy relative to the lowest polymorph listed for this composition: 0 meV/atom

=====

M_tot readings, ordered: 0.000; 0.000; 0.000; 0.000; 0.000; 0.000; 0.000; 0.000; 0.000; 0.000; 0.000; 0.000; 0.000; 0.000; 0.000; 0.000; 0.000; 0.000; 0.000; 0.000; 0.000; 0.000 μB per atom
Formation energy readings, ordered: -47; -123; -72; -88; 549; -218; -174; -190; -186; -255; -169; -145; -212; -1; -117; -80; -136; -166; -111; -167; -105; -91 meV per atom